1.
# PrBi

A relaxed structure of PrBi (PBE, Alexandria).

abc: 4.642 4.642 4.642
angles: 60.00 60.00 60.00
Fractional coordinates of all 2 atoms:
Pr 0.500 0.500 0.500
Bi 0.000 0.000 0.000

* E_form: -0.96 eV per atom

***

2.
# Pr4Bi3

A relaxed structure of Pr4Bi3 (PBE, Alexandria).

abc: 8.460 8.460 8.460
angles: 109.47 109.47 109.47
Fractional coordinates of all 14 atoms:
Pr 0.500 0.000 0.142
Pr 0.642 0.500 0.000
Pr 0.000 0.642 0.500
Pr 0.858 0.858 0.858
Pr 0.000 0.142 0.500
Pr 0.358 0.358 0.358
Pr 0.142 0.500 0.000
Pr 0.500 0.000 0.642
Bi 0.625 0.750 0.375
Bi 0.750 0.375 0.625
Bi 0.250 0.125 0.875
Bi 0.375 0.625 0.750
Bi 0.125 0.875 0.250
Bi 0.875 0.250 0.125

* E_form: -0.85 eV per atom

***

3.
# Pr4Bi3

A relaxed structure of Pr4Bi3 (PBE, Alexandria).

abc: 4.772 4.772 13.169
angles: 79.56 79.56 60.00
Fractional coordinates of all 7 atoms:
Pr 0.378 0.378 0.865
Pr 0.135 0.135 0.596
Pr 0.865 0.865 0.404
Pr 0.622 0.622 0.135
Bi 0.761 0.761 0.717
Bi 0.239 0.239 0.283
Bi 0.000 0.000 0.000

* E_form: -0.72 eV per atom

***

4.
# Pr4Bi

A relaxed structure of Pr4Bi (PBE, Alexandria).

abc: 6.077 6.077 6.077
angles: 90.00 90.00 90.00
Fractional coordinates of all 5 atoms:
Pr 0.000 0.000 0.000
Pr 0.500 0.000 0.500
Pr 0.000 0.500 0.500
Pr 0.500 0.500 0.000
Bi 0.500 0.500 0.500

* E_form: 0.18 eV per atom

***

5.
# PrBi3

A relaxed structure of PrBi3 (PBE, Alexandria).

abc: 4.596 4.802 6.389
angles: 90.00 90.00 90.00
Fractional coordinates of all 4 atoms:
Pr 0.000 0.721 0.000
Bi 0.500 0.237 0.000
Bi 0.500 0.469 0.500
Bi 0.000 0.906 0.500

* E_form: -0.42 eV per atom

***

6.
# Pr3BiPt

A relaxed structure of Pr3BiPt (PBE, Alexandria).

abc: 5.401 7.979 8.619
angles: 117.57 90.00 90.00
Fractional coordinates of all 10 atoms:
Pr 0.500 0.310 0.000
Pr 0.000 0.868 0.736
Pr 0.500 0.690 0.000
Pr 0.500 0.500 0.500
Pr 0.000 0.132 0.264
Pr 0.500 0.000 0.500
Bi 0.000 0.642 0.284
Bi 0.000 0.358 0.716
Pt 0.500 0.098 0.196
Pt 0.500 0.902 0.804

* E_form: -0.66 eV per atom